DFT (PBE) results for a geometry-optimized YTmAlTc structure.

Cell: 6.996 6.996 6.996 Å, 90.00 90.00 90.00°
Space group F-43m (No. 216)
Inequivalent atoms, fractional coordinates:
Y1 0.000 0.000 0.000 (multiplicity 4)
Tm1 0.000 0.000 0.500 (multiplicity 4)
Al1 0.250 0.250 0.250 (multiplicity 4)
Tc1 0.250 0.250 0.750 (multiplicity 4)

Calculated values
Uncorrected energy in eV per atom: -6.443
DFT formation energy in eV per atom: -0.18